(1)
VASP calculation (PBE) on an optimized crystal structure of Gd3Mg3TlGa2.

Output
Total DFT energy (no corrections)   -3.4526 eV/atom
Size of the total moment   0.01 Bohr magnetons per cell

a b c (Å): 7.401 7.401 4.557
angles (deg): 90.00 90.00 120.00
Positions (direct):
1 Gd 0.000 0.433 0.000
2 Gd 0.433 0.000 0.000
3 Gd 0.567 0.567 0.000
4 Mg 0.000 0.748 0.500
5 Mg 0.252 0.252 0.500
6 Mg 0.748 0.000 0.500
7 Tl 0.000 0.000 0.000
8 Ga 0.333 0.667 0.500
9 Ga 0.667 0.333 0.500

---

(2)
VASP calculation (PBE) on an optimized crystal structure of Gd2YMg3ZnGa2.

Output
Total DFT energy (no corrections)   -3.5385 eV/atom
Size of the total moment   0.01 Bohr magnetons per cell

a b c (Å): 4.409 7.336 7.336
angles (deg): 119.94 90.00 90.00
Positions (direct):
1 Gd 0.000 0.211 0.789
2 Gd 0.000 0.789 0.211
3 Y 0.000 0.368 0.368
4 Mg 0.500 0.032 0.032
5 Mg 0.500 0.546 0.789
6 Mg 0.500 0.789 0.546
7 Zn 0.000 0.789 0.789
8 Ga 0.500 0.123 0.456
9 Ga 0.500 0.456 0.123

---

(3)
VASP calculation (PBE) on an optimized crystal structure of Gd3Mg3Zn2Ga.

Output
Total DFT energy (no corrections)   -3.0094 eV/atom
Size of the total moment   0.06 Bohr magnetons per cell

a b c (Å): 7.291 7.291 4.510
angles (deg): 90.00 90.00 120.00
Positions (direct):
1 Gd 0.000 0.421 0.000
2 Gd 0.421 0.000 0.000
3 Gd 0.579 0.579 0.000
4 Mg 0.000 0.758 0.500
5 Mg 0.242 0.242 0.500
6 Mg 0.758 0.000 0.500
7 Zn 0.333 0.667 0.500
8 Zn 0.667 0.333 0.500
9 Ga 0.000 0.000 0.000